# Li4Ga3Si3IO12

Li4Ga3Si3IO12 after structural relaxation (PBEsol, Alexandria via LeMat-Bulk).

Unit cell a=8.633 b=8.633 c=8.633 alpha=90.00 beta=90.00 gamma=90.00
Space group P-43n (No. 218)
Asymmetric unit:
Li 0.188 0.188 0.188 x8
Ga 0.000 0.250 0.500 x6
Si 0.000 0.500 0.250 x6
I 0.000 0.000 0.000 x2
O 0.094 0.370 0.648 x24

The calculation puts the density of states at the Fermi level at 0.0 states/eV/f.u. The final energy comes out at -6.654 eV per atom. The crystal system is cubic.



# Li2GaWI

Li2GaWI after structural relaxation (PBEsol, Alexandria via LeMat-Bulk).

Unit cell a=4.666 b=4.666 c=5.123 alpha=90.00 beta=90.00 gamma=90.00
Space group P4/mmm (No. 123)
Asymmetric unit:
Li 0.000 0.500 0.000 x2
Ga 0.000 0.000 0.500 x1
W 0.500 0.500 0.500 x1
I 0.500 0.500 0.000 x1

The calculation puts the density of states at the Fermi level at 4.3 states/eV/f.u. The final energy comes out at -3.484 eV per atom. The crystal system is tetragonal.



# MgGaI2O

MgGaI2O after structural relaxation (PBEsol, Alexandria via LeMat-Bulk).

Unit cell a=5.707 b=5.707 c=3.659 alpha=90.00 beta=90.00 gamma=90.00
Space group P4/mmm (No. 123)
Asymmetric unit:
Mg 0.000 0.000 0.000 x1
Ga 0.500 0.500 0.500 x1
I 0.000 0.500 0.500 x2
O 0.500 0.500 0.000 x1

The calculation puts the density of states at the Fermi level at 1.3 states/eV/f.u. The final energy comes out at -3.348 eV per atom. The crystal system is tetragonal.



# MgGa2PbI

MgGa2PbI after structural relaxation (PBEsol, Alexandria via LeMat-Bulk).

Unit cell a=5.698 b=5.698 c=5.331 alpha=90.00 beta=90.00 gamma=90.00
Space group P4/mmm (No. 123)
Asymmetric unit:
Mg 0.000 0.000 0.000 x1
Ga 0.000 0.500 0.500 x2
Pb 0.500 0.500 0.000 x1
I 0.000 0.000 0.500 x1

The calculation puts the density of states at the Fermi level at 3.7 states/eV/f.u. The final energy comes out at -2.205 eV per atom. The crystal system is tetragonal.



# Rb2GaMoI

Rb2GaMoI after structural relaxation (PBEsol, Alexandria via LeMat-Bulk).

Unit cell a=6.661 b=6.661 c=6.035 alpha=90.00 beta=90.00 gamma=90.00
Space group P4/mmm (No. 123)
Asymmetric unit:
Rb 0.000 0.500 0.000 x2
Ga 0.000 0.000 0.500 x1
Mo 0.500 0.500 0.500 x1
I 0.000 0.000 0.000 x1

The calculation puts the density of states at the Fermi level at 4.0 states/eV/f.u. The final energy comes out at -2.747 eV per atom. The crystal system is tetragonal.



# GaOsI2N

GaOsI2N after structural relaxation (PBEsol, Alexandria via LeMat-Bulk).

Unit cell a=5.562 b=5.562 c=3.730 alpha=90.00 beta=90.00 gamma=90.00
Space group P4/mmm (No. 123)
Asymmetric unit:
Ga 0.000 0.000 0.000 x1
Os 0.500 0.500 0.500 x1
I 0.000 0.500 0.500 x2
N 0.500 0.500 0.000 x1

The calculation puts the density of states at the Fermi level at 2.8 states/eV/f.u. The final energy comes out at -5.223 eV per atom. The crystal system is tetragonal.



# ScGaI2N

ScGaI2N after structural relaxation (PBEsol, Alexandria via LeMat-Bulk).

Unit cell a=5.743 b=5.743 c=3.536 alpha=90.00 beta=90.00 gamma=90.00
Space group P4/mmm (No. 123)
Asymmetric unit:
Sc 0.000 0.000 0.000 x1
Ga 0.500 0.500 0.500 x1
I 0.000 0.500 0.500 x2
N 0.500 0.500 0.000 x1

The calculation puts the density of states at the Fermi level at 3.0 states/eV/f.u. The final energy comes out at -4.271 eV per atom. The crystal system is tetragonal.



# ZrGaI2N

ZrGaI2N after structural relaxation (PBEsol, Alexandria via LeMat-Bulk).

Unit cell a=6.064 b=6.064 c=3.899 alpha=90.00 beta=90.00 gamma=90.00
Space group P4/mmm (No. 123)
Asymmetric unit:
Zr 0.000 0.000 0.000 x1
Ga 0.500 0.500 0.000 x1
I 0.000 0.500 0.500 x2
N 0.000 0.000 0.500 x1

The calculation puts the density of states at the Fermi level at 2.9 states/eV/f.u. The final energy comes out at -4.727 eV per atom. The crystal system is tetragonal.



Which of these has the lowest final energy? Li4Ga3Si3IO12